# 1
Tb5Dy2Tm3 PBE-GGA relaxed; magnetic moment = 0.00 μB/f.u.; energy of formation from the pure elements = 0.20 eV/atom
1.0
8.399 1.641 -3.942
0.288 8.533 -4.007
-1.795 -2.025 10.679
Tb Dy Tm
10 4 6
Cartesian
2.411 4.878 -2.549 Tb
4.481 3.271 5.279 Tb
-0.594 5.493 2.565 Tb
3.464 2.050 2.604 Tb
7.485 2.656 0.165 Tb
3.428 6.099 0.126 Tb
6.235 5.301 2.329 Tb
0.656 2.848 0.401 Tb
1.964 0.326 6.225 Tb
4.927 7.823 -3.494 Tb
5.210 -0.031 4.946 Dy
1.682 8.180 -2.215 Dy
2.873 5.517 3.300 Dy
4.019 2.632 -0.569 Dy
0.436 6.730 5.273 Tm
6.456 1.419 -2.543 Tm
5.780 4.688 -2.197 Tm
1.112 3.462 4.928 Tm
-0.090 6.111 -0.616 Tm
6.982 2.038 3.347 Tm

=====

# 2
Tb2Dy7Tm3 PBE-GGA relaxed; magnetic moment = 0.00 μB/f.u.; energy of formation from the pure elements = 0.08 eV/atom
1.0
3.486 0.000 0.000
0.000 6.229 0.748
0.000 2.347 17.544
Tb Dy Tm
2 7 3
Cartesian
1.743 4.581 6.204 Tb
1.743 3.995 12.088 Tb
1.743 2.686 8.988 Dy
1.743 5.891 9.304 Dy
0.000 3.880 3.315 Dy
0.000 0.000 0.000 Dy
0.000 4.696 14.977 Dy
1.743 7.818 15.289 Dy
1.743 0.758 3.003 Dy
1.743 3.115 0.374 Tm
0.000 1.479 6.090 Tm
0.000 7.097 12.202 Tm

=====

# 3
Tb3Dy4Tm PBE-GGA relaxed; magnetic moment = 0.00 μB/f.u.; energy of formation from the pure elements = 0.01 eV/atom
1.0
-2.708 -1.025 -5.547
-4.425 -4.844 3.055
-7.428 8.125 2.125
Tb Dy Tm
6 8 2
Cartesian
-4.520 -3.692 -1.683 Tb
-7.276 -2.000 -3.000 Tb
-4.819 -0.279 -0.988 Tb
-5.773 2.095 1.388 Tb
-8.533 3.783 0.074 Tb
-10.991 2.062 -1.937 Tb
-4.275 -4.391 1.846 Dy
-2.304 -1.267 -3.210 Dy
-5.060 0.409 -4.532 Dy
-7.039 -2.691 0.537 Dy
-7.986 -0.329 2.920 Dy
-6.025 2.791 -2.156 Dy
-10.736 1.353 1.594 Dy
-8.791 4.490 -3.464 Dy
-2.058 -1.967 0.326 Tm
-8.235 0.369 -0.620 Tm

=====

# 4
Tb12Dy5Tm2 PBE-GGA relaxed; magnetic moment = 0.00 μB/f.u.; energy of formation from the pure elements = 0.12 eV/atom
1.0
6.276 -0.702 -0.162
-3.937 9.101 -2.093
-0.202 -1.273 11.529
Tb Dy Tm
12 5 2
Cartesian
1.281 8.053 -0.023 Tb
-1.440 5.052 7.345 Tb
1.688 4.748 8.339 Tb
2.884 5.312 1.093 Tb
-0.265 5.379 2.534 Tb
-0.596 7.433 5.144 Tb
2.734 -0.308 4.130 Tb
-0.746 1.813 8.180 Tb
2.404 1.746 6.740 Tb
3.578 2.073 1.929 Tb
0.450 2.377 0.935 Tb
0.857 -0.927 9.297 Tb
-0.560 2.620 4.709 Dy
-0.405 5.162 -0.838 Dy
-0.101 -0.637 5.764 Dy
2.543 1.964 10.112 Dy
2.698 4.506 4.565 Dy
4.125 -1.067 10.465 Tm
-1.987 8.192 -1.191 Tm

=====

# 5
Tb5DyTm2 PBE-GGA relaxed; magnetic moment = 0.00 μB/f.u.; energy of formation from the pure elements = 0.02 eV/atom
1.0
-3.504 -2.584 2.439
4.969 -2.785 4.187
-1.615 10.736 9.057
Tb Dy Tm
10 2 4
Cartesian
0.000 0.000 0.000 Tb
1.677 3.976 6.622 Tb
1.271 6.662 8.886 Tb
2.083 1.289 4.358 Tb
-0.402 2.685 2.267 Tb
3.756 5.267 10.977 Tb
-1.923 7.406 10.191 Tb
1.773 -2.039 5.492 Tb
-1.115 2.038 5.663 Tb
0.965 3.329 10.020 Tb
-0.807 5.368 4.528 Dy
2.484 -1.392 2.094 Dy
-1.520 4.721 7.924 Tm
1.370 0.646 7.758 Tm
-0.710 -0.649 3.398 Tm
0.560 6.016 12.285 Tm

=====

# 6
TbDy7Tm2 PBE-GGA relaxed; magnetic moment = 0.00 μB/f.u.; energy of formation from the pure elements = 0.05 eV/atom
1.0
-4.797 0.084 2.471
2.032 3.196 -7.962
-2.904 -8.916 0.557
Tb Dy Tm
1 7 2
Cartesian
0.000 0.000 0.000 Tb
-4.916 -2.716 -3.564 Dy
-0.754 -2.921 -1.370 Dy
-2.164 -4.891 -4.040 Dy
-3.506 -0.745 -0.894 Dy
-0.088 0.806 -6.103 Dy
-5.582 -6.443 1.169 Dy
-1.383 1.640 -2.745 Dy
-2.137 -1.276 -4.113 Tm
-3.533 -4.360 -0.821 Tm